CaLa2Pr6Er | GGA-PBE | relaxed

Unit cell a=9.1037 b=9.1037 c=10.2501 alpha=95.91 beta=95.91 gamma=118.60
Atoms (fractional coordinates):
Ca 0.1042 0.8958 0.7500
Ca 0.8958 0.1042 0.2500
La 0.2020 0.2932 0.9549
La 0.2932 0.2020 0.4549
La 0.7068 0.7980 0.5451
La 0.7980 0.7068 0.0451
Pr 0.0074 0.2206 0.6265
Pr 0.0875 0.5340 0.1727
Pr 0.2206 0.0074 0.1265
Pr 0.2653 0.6201 0.5509
Pr 0.3799 0.7347 0.9491
Pr 0.4660 0.9125 0.3273
Pr 0.5340 0.0875 0.6727
Pr 0.6201 0.2653 0.0509
Pr 0.7347 0.3799 0.4491
Pr 0.7794 0.9926 0.8735
Pr 0.9125 0.4660 0.8273
Pr 0.9926 0.7794 0.3735
Er 0.4805 0.5195 0.2500
Er 0.5195 0.4805 0.7500

Computed properties:
Energy ... -4.39 eV/atom
Energy of formation from the pure elements ... 0.115 eV per atom
V ... 36.53 Å³ per atom
Magnetization ... 0.00 μB/f.u.